[1]
CsAg2Ir2 | PBE | optimized geometry

## Properties
Volume   107 Å³ per cell
SG   P4/mmm

a = 4.0569 Å, b = 4.0569 Å, c = 6.5103 Å
α = 90.00°, β = 90.00°, γ = 90.00°
Last column: nearest neighbours and their distance in Å.
Positions (direct):
Cs (0.0000, 0.0000, 0.0000)  8 Ag 3.20
Ag (0.5000, 0.5000, 0.2186)  4 Ir 2.73, 1 Ag 2.85
Ag (0.5000, 0.5000, 0.7814)  4 Ir 2.73, 1 Ag 2.85
Ir (0.0000, 0.5000, 0.5000)  4 Ag 2.73, 4 Ir 2.87
Ir (0.5000, 0.0000, 0.5000)  4 Ag 2.73, 4 Ir 2.87

=====

[2]
CsAgIrS3 | PBE | optimized geometry

## Properties
Volume   294 Å³ per cell
SG   P2_1/m

a = 8.4391 Å, b = 3.8147 Å, c = 9.8754 Å
α = 90.00°, β = 112.45°, γ = 90.00°
Last column: nearest neighbours and their distance in Å.
Positions (direct):
Cs (0.2503, 0.2500, 0.2305)  8 S 3.48-3.82, 2 Ag 3.79, 2 Cs 3.81
Cs (0.7497, 0.7500, 0.7695)  8 S 3.48-3.82, 2 Ag 3.79, 2 Cs 3.81
Ag (0.4412, 0.2500, 0.8936)  4 S 2.48-2.69, 2 Ag 2.73
Ag (0.5588, 0.7500, 0.1064)  4 S 2.48-2.69, 2 Ag 2.73
Ir (0.1695, 0.7500, 0.6375)  6 S 2.35-2.45
Ir (0.8305, 0.2500, 0.3625)  6 S 2.35-2.45
S (0.0155, 0.7500, 0.3823)  3 Ir 2.35-2.42
S (0.2380, 0.7500, 0.9021)  1 Ir 2.45, 3 Ag 2.59-2.69
S (0.3445, 0.2500, 0.6230)  2 Ir 2.45, 1 Ag 2.48
S (0.6555, 0.7500, 0.3770)  2 Ir 2.45, 1 Ag 2.48
S (0.7620, 0.2500, 0.0979)  1 Ir 2.45, 3 Ag 2.59-2.69
S (0.9845, 0.2500, 0.6177)  3 Ir 2.35-2.42

=====

[3]
CsAgIrS3 | PBE | optimized geometry

## Properties
Volume   291 Å³ per cell
SG   Cmcm

a = 8.0895 Å, b = 8.0895 Å, c = 9.8112 Å
α = 90.00°, β = 90.00°, γ = 153.10°
Last column: nearest neighbours and their distance in Å.
Positions (direct):
Cs (0.2485, 0.7515, 0.7500)  8 S 3.56-3.80, 2 Ag 3.65, 2 Cs 3.76
Cs (0.7515, 0.2485, 0.2500)  8 S 3.56-3.80, 2 Ag 3.65, 2 Cs 3.76
Ag (0.4502, 0.5498, 0.2500)  4 S 2.41-2.53
Ag (0.5498, 0.4502, 0.7500)  4 S 2.41-2.53
Ir (0.0000, 0.0000, 0.0000)  6 S 2.44-2.61
Ir (0.0000, 0.0000, 0.5000)  6 S 2.44-2.61
S (0.0575, 0.9425, 0.2500)  2 Ag 2.53, 2 Ir 2.61
S (0.4022, 0.5978, 0.0164)  1 Ag 2.41, 2 Ir 2.44
S (0.4022, 0.5978, 0.4836)  1 Ag 2.41, 2 Ir 2.44
S (0.5978, 0.4022, 0.5164)  1 Ag 2.41, 2 Ir 2.44
S (0.5978, 0.4022, 0.9836)  1 Ag 2.41, 2 Ir 2.44
S (0.9425, 0.0575, 0.7500)  2 Ag 2.53, 2 Ir 2.61

=====

[4]
CsAgIrSeS2 | PBE | optimized geometry

## Properties
Volume   306 Å³ per cell
SG   Cmcm

a = 8.3688 Å, b = 8.3688 Å, c = 10.0519 Å
α = 90.00°, β = 90.00°, γ = 154.23°
Last column: nearest neighbours and their distance in Å.
Positions (direct):
Cs (0.2487, 0.7513, 0.7500)  2 Ag 3.61, 2 Se 3.64, 6 S 3.66-3.94, 2 Cs 3.73
Cs (0.7513, 0.2487, 0.2500)  2 Ag 3.61, 2 Se 3.64, 6 S 3.66-3.94, 2 Cs 3.73
Ag (0.0620, 0.9380, 0.2500)  2 S 2.42, 2 Se 2.69
Ag (0.9380, 0.0620, 0.7500)  2 S 2.42, 2 Se 2.69
Ir (0.5000, 0.5000, 0.0000)  4 S 2.43, 2 Se 2.68
Ir (0.5000, 0.5000, 0.5000)  4 S 2.43, 2 Se 2.68
Se (0.4431, 0.5569, 0.2500)  2 Ir 2.68, 2 Ag 2.69
Se (0.5569, 0.4431, 0.7500)  2 Ir 2.68, 2 Ag 2.69
S (0.0952, 0.9048, 0.0156)  1 Ag 2.42, 2 Ir 2.43
S (0.0952, 0.9048, 0.4844)  1 Ag 2.42, 2 Ir 2.43
S (0.9048, 0.0952, 0.5156)  1 Ag 2.42, 2 Ir 2.43
S (0.9048, 0.0952, 0.9844)  1 Ag 2.42, 2 Ir 2.43

=====

| no. | calculated total energy (eV/atom) |
| --- | --- |
| 1 | -3.945 |
| 2 | -4.573 |
| 3 | -4.431 |
| 4 | -4.355 |